(1)
A plane-wave DFT calculation with GGA-PBE was carried out for crystalline Rb6HfBi4 at its relaxed geometry.

## Properties
Magnetization ... 4.28 μB per cell
ρ ... 4525 kg/m3
E_form ... -0.2996 eV/atom

a = 9.2806 Å, b = 11.8088 Å, c = 11.8088 Å
α = 120.00°, β = 90.00°, γ = 90.00°
Last column: magnetic moment on the atom in μB.
Positions (direct):
Rb  0.1372  0.4701  0.5299  0.01
Rb  0.9533  0.8570  0.1430  0.01
Rb  0.6372  0.5299  0.4701  0.01
Rb  0.1372  0.0598  0.5299  0.01
Rb  0.4533  0.7141  0.8570  0.01
Rb  0.6372  0.5299  0.0598  0.01
Rb  0.9533  0.2859  0.1430  0.01
Rb  0.1372  0.4701  0.9402  0.01
Rb  0.4533  0.1430  0.2859  0.01
Rb  0.4533  0.1430  0.8570  0.01
Rb  0.9533  0.8570  0.7141  0.01
Rb  0.6372  0.9402  0.4701  0.01
Bi  0.3422  0.8013  0.1987  0.29
Bi  0.9429  0.6667  0.3333  0.34
Bi  0.3422  0.8013  0.6026  0.29
Bi  0.3422  0.3974  0.1987  0.29
Bi  0.8422  0.1987  0.3974  0.29
Bi  0.8422  0.6026  0.8013  0.29
Bi  0.4429  0.3333  0.6667  0.34
Bi  0.8422  0.1987  0.8013  0.29
Hf  0.7515  0.3333  0.6667  -0.13
Hf  0.2515  0.6667  0.3333  -0.13

---

(2)
A plane-wave DFT calculation with GGA-PBE was carried out for crystalline Al3ClF at its relaxed geometry.

## Properties
Formation energy without anion corrections ... -164 meV/atom
Excess energy over the best structure of this formula in the dataset ... 0.0 meV/atom
Magnetization ... 0.00 μB per cell
ρ ... 1990 kg/m3

a = 4.8347 Å, b = 4.8347 Å, c = 4.8347 Å
α = 90.00°, β = 90.00°, γ = 90.00°
Positions (direct):
F  0.0000  0.0000  0.0000
Al  0.0000  0.5000  0.0000
Al  0.5000  0.0000  0.0000
Al  0.0000  0.0000  0.5000
Cl  0.5000  0.5000  0.5000